# NaScAu2

Crystalline NaScAu2 at its relaxed geometry (PBE, the Alexandria database).

The structure belongs to space group R-3m (No. 166, hexagonal axes); the cell edges are 3.6423, 3.6423 and 24.3743 Å and the angles 90.00°, 90.00° and 120.00°. Symmetry generates all atoms from Na at (0.0000, 0.0000, 0.0000), Sc at (0.0000, 0.0000, 0.5000) and Au at (0.0000, 0.0000, 0.2402).

---

# NaPuB12

Crystalline NaPuB12 at its relaxed geometry (PBE, the Alexandria database).

The structure belongs to space group Fm-3m (No. 225); the cell edges are 8.2633, 8.2633 and 8.2633 Å and the angles 90.00°, 90.00° and 90.00°. Symmetry generates all atoms from Na at (0.0000, 0.0000, 0.0000), Pu at (0.0000, 0.0000, 0.5000) and B at (0.1002, 0.2500, 0.2500).

---

# TiV2Tc

Crystalline TiV2Tc at its relaxed geometry (PBE, the Alexandria database).

The structure belongs to space group P4/mmm (No. 123); the cell edges are 3.0274, 3.0274 and 6.3006 Å and the angles 90.00°, 90.00° and 90.00°. Symmetry generates all atoms from Ti at (0.0000, 0.0000, 0.0000), V at (0.5000, 0.5000, 0.2652) and Tc at (0.0000, 0.0000, 0.5000).

---

# ZnSn2PtF

Crystalline ZnSn2PtF at its relaxed geometry (PBE, the Alexandria database).

As for the uncorrected formation energy: -240.2 meV per atom.

The structure belongs to space group P4/mmm (No. 123); the cell edges are 4.9124, 4.9124 and 4.1797 Å and the angles 90.00°, 90.00° and 90.00°. Symmetry generates all atoms from Zn at (0.0000, 0.0000, 0.0000), Sn at (0.0000, 0.5000, 0.5000), Pt at (0.5000, 0.5000, 0.0000) and F at (0.0000, 0.0000, 0.5000).

---

# Sr2ErNi9

Crystalline Sr2ErNi9 at its relaxed geometry (PBE, the Alexandria database).

The structure belongs to space group R-3m (No. 166, hexagonal axes); the cell edges are 5.0266, 5.0266 and 25.0794 Å and the angles 90.00°, 90.00° and 120.00°. Symmetry generates all atoms from Sr at (0.0000, 0.0000, 0.1401), Er at (0.0000, 0.0000, 0.0000), Ni at (0.0000, 0.0000, 0.3323), Ni at (0.0000, 0.0000, 0.5000) and Ni at (0.0035, 0.5017, 0.0771).

---

# K4Dy3RuO8

Crystalline K4Dy3RuO8 at its relaxed geometry (PBE, the Alexandria database).

As for the uncorrected formation energy: -2267.1 meV per atom.

The structure belongs to space group R-3m (No. 166, hexagonal axes); the cell edges are 6.7916, 6.7916 and 18.6585 Å and the angles 90.00°, 90.00° and 120.00°. Symmetry generates all atoms from K at (0.0000, 0.0000, 0.0000), K at (0.0000, 0.5000, 0.0000), Dy at (0.0000, 0.5000, 0.5000), Ru at (0.0000, 0.0000, 0.5000), O at (0.0000, 0.0000, 0.2290) and O at (0.0121, 0.5060, 0.2287).

---

# LiNbZn

Crystalline LiNbZn at its relaxed geometry (PBE, the Alexandria database).

The structure belongs to space group Pm (No. 6); the cell edges are 2.6049, 4.5497 and 8.0811 Å and the angles 90.00°, 90.81° and 90.00°. Symmetry generates all atoms from Li at (0.0000, 0.0000, 0.0000), Li at (0.3811, 0.0000, 0.3078), Nb at (0.0359, 0.5000, 0.4743), Nb at (0.5976, 0.0000, 0.6601), Zn at (0.1455, 0.5000, 0.8342) and Zn at (0.5777, 0.5000, 0.1473).

---

# GaCu3Ni6

Crystalline GaCu3Ni6 at its relaxed geometry (PBE, the Alexandria database).

The structure belongs to space group P2_1/m (No. 11); the cell edges are 7.8224, 3.6275 and 8.0590 Å and the angles 90.00°, 92.29° and 90.00°. Symmetry generates all atoms from Ga at (0.0596, 0.2500, 0.3850), Cu at (0.2510, 0.2500, 0.9966), Cu at (0.3458, 0.7500, 0.7984), Cu at (0.4477, 0.2500, 0.5991), Ni at (0.0468, 0.7500, 0.9037), Ni at (0.1417, 0.2500, 0.6963), Ni at (0.1568, 0.7500, 0.1925), Ni at (0.2446, 0.7500, 0.4972), Ni at (0.3543, 0.2500, 0.2959) and Ni at (0.4505, 0.7500, 0.0994).

---

# PmSm

Crystalline PmSm at its relaxed geometry (PBE, the Alexandria database).

The structure belongs to space group I4_1/amd (No. 141, origin choice 2); the cell edges are 5.1436, 5.1436 and 10.3253 Å and the angles 90.00°, 90.00° and 90.00°. Symmetry generates all atoms from Pm at (0.0000, 0.2500, 0.3750) and Sm at (0.0000, 0.2500, 0.8750).

---

# CuO2F

Crystalline CuO2F at its relaxed geometry (PBE, the Alexandria database).

As for the uncorrected formation energy: -677.5 meV per atom.

The structure belongs to space group C222_1 (No. 20); the cell edges are 6.4404, 8.1755 and 3.9450 Å and the angles 90.00°, 90.00° and 90.00°. Symmetry generates all atoms from Cu at (0.2162, 0.0000, 0.0000), O at (0.0998, 0.3865, 0.7808) and F at (0.0000, 0.1084, 0.2500).

---

# FeReH2

Crystalline FeReH2 at its relaxed geometry (PBE, the Alexandria database).

The structure belongs to space group Fm-3m (No. 225); the cell edges are 5.0901, 5.0901 and 5.0901 Å and the angles 90.00°, 90.00° and 90.00°. Symmetry generates all atoms from Fe at (0.0000, 0.0000, 0.0000), Re at (0.0000, 0.0000, 0.5000) and H at (0.2500, 0.2500, 0.2500).

---

# CeTcGe2

Crystalline CeTcGe2 at its relaxed geometry (PBE, the Alexandria database).

The structure belongs to space group Fm-3m (No. 225); the cell edges are 6.6235, 6.6235 and 6.6235 Å and the angles 90.00°, 90.00° and 90.00°. Symmetry generates all atoms from Ce at (0.0000, 0.0000, 0.0000), Tc at (0.0000, 0.0000, 0.5000) and Ge at (0.2500, 0.2500, 0.2500).

---

# CsTlHgSb2

Crystalline CsTlHgSb2 at its relaxed geometry (PBE, the Alexandria database).

As for the uncorrected formation energy: -175.4 meV per atom.

The structure belongs to space group Imm2 (No. 44); the cell edges are 4.2336, 5.7231 and 15.9673 Å and the angles 90.00°, 90.00° and 90.00°. Symmetry generates all atoms from Cs at (0.0000, 0.0000, 0.0000), Tl at (0.0000, 0.5000, 0.7350), Hg at (0.0000, 0.0000, 0.3942), Sb at (0.0000, 0.0000, 0.6247) and Sb at (0.0000, 0.5000, 0.2506).

---

# BaLa2ZnNi

Crystalline BaLa2ZnNi at its relaxed geometry (PBE, the Alexandria database).

The structure belongs to space group P4/mmm (No. 123); the cell edges are 5.5196, 5.5196 and 5.0376 Å and the angles 90.00°, 90.00° and 90.00°. Symmetry generates all atoms from Ba at (0.0000, 0.0000, 0.0000), La at (0.0000, 0.5000, 0.5000), Zn at (0.5000, 0.5000, 0.0000) and Ni at (0.5000, 0.5000, 0.5000).

---

# BeCu2

Crystalline BeCu2 at its relaxed geometry (PBE, the Alexandria database).

The structure belongs to space group P-62m (No. 189); the cell edges are 6.5425, 6.5425 and 2.5566 Å and the angles 90.00°, 90.00° and 120.00°. Symmetry generates all atoms from Be at (0.0000, 0.0000, 0.0000), Be at (0.3333, 0.6667, 0.5000), Cu at (0.0000, 0.2930, 0.5000) and Cu at (0.0000, 0.6285, 0.0000).

---

# Cd3In10Hg3

Crystalline Cd3In10Hg3 at its relaxed geometry (PBE, the Alexandria database).

The structure belongs to space group P-62m (No. 189); the cell edges are 9.0445, 9.0445 and 6.0458 Å and the angles 90.00°, 90.00° and 120.00°. Symmetry generates all atoms from Cd at (0.0000, 0.5959, 0.0000), In at (0.0000, 0.2194, 0.0000), In at (0.0000, 0.7819, 0.5000), In at (0.3333, 0.6667, 0.2484) and Hg at (0.0000, 0.4102, 0.5000).

---

# LiTmNpOs

Crystalline LiTmNpOs at its relaxed geometry (PBE, the Alexandria database).

The structure belongs to space group F-43m (No. 216); the cell edges are 6.8399, 6.8399 and 6.8399 Å and the angles 90.00°, 90.00° and 90.00°. Symmetry generates all atoms from Li at (0.0000, 0.0000, 0.0000), Tm at (0.2500, 0.2500, 0.7500), Np at (0.2500, 0.2500, 0.2500) and Os at (0.0000, 0.0000, 0.5000).

---

# Ag3HgAu3

Crystalline Ag3HgAu3 at its relaxed geometry (PBE, the Alexandria database).

The structure belongs to space group Pm-3n (No. 223); the cell edges are 7.5865, 7.5865 and 7.5865 Å and the angles 90.00°, 90.00° and 90.00°. Symmetry generates all atoms from Ag at (0.0000, 0.2500, 0.5000), Hg at (0.0000, 0.0000, 0.0000) and Au at (0.0000, 0.5000, 0.2500).

---

# Rb2TlRhO4

Crystalline Rb2TlRhO4 at its relaxed geometry (PBE, the Alexandria database).

As for the uncorrected formation energy: -873.4 meV per atom.

The structure belongs to space group I-4 (No. 82); the cell edges are 6.4941, 6.4941 and 7.3404 Å and the angles 90.00°, 90.00° and 90.00°. Symmetry generates all atoms from Rb at (0.0000, 0.0000, 0.0000), Rb at (0.0000, 0.5000, 0.2500), Tl at (0.0000, 0.5000, 0.7500), Rh at (0.0000, 0.0000, 0.5000) and O at (0.1528, 0.7524, 0.5637).

---

# Tl3GaH

Crystalline Tl3GaH at its relaxed geometry (PBE, the Alexandria database).

The structure belongs to space group Pm-3m (No. 221); the cell edges are 4.9354, 4.9354 and 4.9354 Å and the angles 90.00°, 90.00° and 90.00°. Symmetry generates all atoms from Tl at (0.0000, 0.0000, 0.5000), Ga at (0.5000, 0.5000, 0.5000) and H at (0.0000, 0.0000, 0.0000).

---

Calculated calculated total energy, -15.8; -99.3; -37.3; -18.4; -61.6; -103.4; -13.1; -50.7; -9.4; -18.6; -24.4; -27.0; -12.6; -19.0; -12.1; -30.3; -30.3; -14.9; -38.5; -12.2 eV per formula unit (same order as the records).